Entry from Alexandria: an optimized crystal structure of BeFeC (PBE).

Computed properties:
energy above the lowest structure with this stoichiometry = 0.158 eV/atom
energy relative to the elements = 0.284 eV/atom
energy = -6.85 eV per atom
size of the total moment = 0.000 μB per atom
SG = P3m1

a = 3.0075 Å, b = 3.0073 Å, c = 3.4792 Å
α = 90.01°, β = 89.98°, γ = 60.00°
With the nearest neighbours (Å) after each atom.
Fractional positions:
Be  0.6463  0.1900  0.4601  3 C 1.97
C  0.3130  0.8567  0.7256  3 Fe 1.82, 3 Be 1.97
Fe  0.9794  0.5234  0.8804  3 C 1.82

***

Entry from Alexandria: an optimized crystal structure of BeFeC2 (PBE).

Computed properties:
energy relative to the elements = 0.808 eV/atom
energy = -6.85 eV per atom
size of the total moment = 0.000 μB per atom
SG = I-42d

a = 4.2807 Å, b = 4.2807 Å, c = 5.1258 Å
α = 65.32°, β = 65.32°, γ = 90.00°
With the nearest neighbours (Å) after each atom.
Fractional positions:
Be  0.5000  0.5000  0.0000  4 C 1.86
Be  0.2500  0.7500  0.5000  4 C 1.86
C  0.6375  0.1250  0.2500  2 Fe 1.80, 2 Be 1.86
C  0.1125  0.6250  0.2500  2 Fe 1.80, 2 Be 1.86
C  0.3750  0.3625  0.7500  2 Fe 1.80, 2 Be 1.86
C  0.8750  0.8875  0.7500  2 Fe 1.80, 2 Be 1.86
Fe  0.0000  0.0000  0.0000  4 C 1.80
Fe  0.7500  0.2500  0.5000  4 C 1.80

***

Entry from Alexandria: an optimized crystal structure of Be2FeC (PBE).

Computed properties:
energy relative to the elements = 0.575 eV/atom
energy = -5.71 eV per atom
size of the total moment = 0.716 μB per atom
SG = R-3m

a = 2.8628 Å, b = 2.8628 Å, c = 6.1636 Å
α = 76.57°, β = 76.57°, γ = 60.00°
With the nearest neighbours (Å) after each atom.
Fractional positions:
Be  0.1341  0.1341  0.5978  3 C 1.75
Be  0.8659  0.8659  0.4022  3 C 1.75
C  0.5000  0.5000  0.5000  6 Be 1.75
Fe  0.0000  0.0000  0.0000  2 Be 2.39

***

Entry from Alexandria: an optimized crystal structure of BeFeC (PBE).

Computed properties:
energy above the lowest structure with this stoichiometry = 0.073 eV/atom
energy relative to the elements = 0.198 eV/atom
energy = -6.94 eV per atom
size of the total moment = 0.000 μB per atom
SG = Pm

a = 2.6097 Å, b = 3.5513 Å, c = 3.8189 Å
α = 104.69°, β = 46.94°, γ = 111.74°
With the nearest neighbours (Å) after each atom.
Fractional positions:
Be  0.8839  0.4512  0.3554  4 C 1.97-1.98
C  0.9568  0.6008  0.8555  3 Fe 1.88-1.95, 4 Be 1.97-1.98
Fe  0.6632  0.0094  0.8553  3 C 1.88-1.95

***

Entry from Alexandria: an optimized crystal structure of Be2FeC (PBE).

Computed properties:
energy relative to the elements = 0.290 eV/atom
energy = -5.99 eV per atom
size of the total moment = 0.482 μB per atom
SG = I-42d

a = 5.9807 Å, b = 5.9807 Å, c = 4.6527 Å
α = 50.01°, β = 50.01°, γ = 90.00°
With the nearest neighbours (Å) after each atom.
Fractional positions:
Be  0.5186  0.1250  0.2500  2 C 1.79
Be  0.2314  0.6250  0.2500  2 C 1.79
Be  0.3750  0.4814  0.7500  2 C 1.79
Be  0.8750  0.7686  0.7500  2 C 1.79
C  0.5000  0.5000  0.0000  4 Be 1.79, 2 Fe 1.94
C  0.2500  0.7500  0.5000  4 Be 1.79, 2 Fe 1.94
Fe  0.0000  0.0000  0.0000  2 C 1.94
Fe  0.7500  0.2500  0.5000  2 C 1.94

***

Entry from Alexandria: an optimized crystal structure of BeFeC (PBE).

Computed properties:
energy above the lowest structure with this stoichiometry = 0.161 eV/atom
energy relative to the elements = 0.286 eV/atom
energy = -6.85 eV per atom
size of the total moment = 0.000 μB per atom
SG = P-6m2

a = 3.4104 Å, b = 3.1739 Å, c = 3.1757 Å
α = 120.00°, β = 90.00°, γ = 90.00°
With the nearest neighbours (Å) after each atom.
Fractional positions:
Be  0.2898  0.2789  0.0731  2 C 1.71
C  0.7898  0.2793  0.0733  2 Be 1.71, 3 Fe 1.83
Fe  0.7899  0.9460  0.4067  3 C 1.83

***

Entry from Alexandria: an optimized crystal structure of BeFeC (PBE).

Computed properties:
energy above the lowest structure with this stoichiometry = 0.003 eV/atom
energy relative to the elements = 0.129 eV/atom
energy = -7.01 eV per atom
size of the total moment = 0.202 μB per atom
SG = R3m

a = 2.8974 Å, b = 3.6668 Å, c = 2.8972 Å
α = 113.29°, β = 120.01°, γ = 66.71°
With the nearest neighbours (Å) after each atom.
Fractional positions:
Be  0.4295  0.4650  0.7784  3 C 1.75
C  0.7087  0.6271  0.4993  3 Be 1.75
Fe  0.9280  0.9693  0.2800  4 C 2.01-2.15

***

Entry from Alexandria: an optimized crystal structure of BeFe2GeC (PBE).

Computed properties:
energy above the lowest structure with this stoichiometry = 0.000 eV/atom
energy relative to the elements = 0.077 eV/atom
energy = -6.82 eV per atom
size of the total moment = 0.030 μB per atom
SG = P4/mmm

a = 3.8039 Å, b = 3.8039 Å, c = 3.4580 Å
α = 90.00°, β = 90.00°, γ = 90.00°
With the nearest neighbours (Å) after each atom.
Fractional positions:
C  0.0000  0.0000  0.0000  2 Be 1.73, 4 Fe 1.90
Be  0.0000  0.0000  0.5000  2 C 1.73
Ge  0.5000  0.5000  0.5000  8 Fe 2.57, 4 Be 2.69
Fe  0.0000  0.5000  0.0000  2 C 1.90
Fe  0.5000  0.0000  0.0000  2 C 1.90

***

> energy of number 7 (BeFeC)?

-7.01 eV per atom